(1)
{"formula": "DyPuTh2", "functional": "PBE", "state": "optimized geometry", "total_energy_ev_per_atom": -8.26, "ef_ev_per_atom": 0.19, "sg": "Fm-3m (225)", "magmom_total_mub_per_fu": 7.0, "cell": [[5.5562, 0.0000, 0.0000], [2.7781, 4.8118, 0.0000], [2.7781, 1.6039, 4.5366]], "species": ["Th", "Th", "Pu", "Dy"], "frac_coords": [[0.7500, 0.7500, 0.7500], [0.2500, 0.2500, 0.2500], [0.5000, 0.5000, 0.5000], [0.0000, 0.0000, 0.0000]]}

=====

(2)
{"formula": "Ba2Li2Hg3", "functional": "PBE", "state": "optimized geometry", "total_energy_ev_per_atom": -1.61, "ef_ev_per_atom": -0.39, "sg": "Cmcm (63)", "magmom_total_mub_per_fu": 0.0, "cell": [[-3.8644, 0.8977, -2.3562], [4.1678, -1.7445, -7.5005], [-0.9564, -10.7861, 1.9772]], "species": ["Ba", "Ba", "Ba", "Ba", "Li", "Li", "Li", "Li", "Hg", "Hg", "Hg", "Hg", "Hg", "Hg"], "frac_coords": [[0.1603, 0.2500, 0.3207], [0.9444, 0.2500, 0.8887], [0.0556, 0.7500, 0.1113], [0.8397, 0.7500, 0.6793], [0.6913, 0.5640, 0.3826], [0.6913, 0.9360, 0.3826], [0.3087, 0.4360, 0.6174], [0.3087, 0.0640, 0.6174], [0.4354, 0.5675, 0.8709], [0.2192, 0.7500, 0.4384], [0.4354, 0.9325, 0.8709], [0.5646, 0.4325, 0.1291], [0.5646, 0.0675, 0.1291], [0.7808, 0.2500, 0.5616]]}

=====

(3)
{"formula": "LiTh6C3S2", "functional": "PBE", "state": "optimized geometry", "total_energy_ev_per_atom": -7.60, "e_form_raw_mev_per_atom": -736, "sg": "C2/m (12)", "magmom_total_mub_per_fu": 1.1, "cell": [[-1.5133, -1.2478, 3.2583], [5.3037, -6.3461, 0.0328], [4.3787, 7.4208, 2.6562]], "species": ["S", "S", "Th", "Th", "Th", "Th", "Th", "Th", "C", "C", "C", "Li"], "frac_coords": [[0.1630, 0.3258, 0.3259], [0.8370, 0.6742, 0.6741], [0.6617, 0.5998, 0.3233], [0.6769, 0.0571, 0.3538], [0.9876, 0.2842, 0.9752], [0.3231, 0.9429, 0.6462], [0.0124, 0.7158, 0.0248], [0.3383, 0.4002, 0.6767], [0.8296, 0.1712, 0.6591], [0.1704, 0.8288, 0.3409], [0.5000, 0.5000, 0.0000], [0.5000, 0.0000, 0.0000]]}

=====

(4)
{"formula": "LaYMn2Pd", "functional": "PBE", "state": "optimized geometry", "total_energy_ev_per_atom": -6.61, "ef_ev_per_atom": 0.37, "sg": "P4/mmm (123)", "magmom_total_mub_per_fu": 8.0, "cell": [[-0.6262, -4.0069, -3.0816], [5.2126, -0.4217, -0.5110], [0.1423, -3.1179, 4.0252]], "species": ["Y", "Mn", "Mn", "Pd", "La"], "frac_coords": [[0.5000, 0.5000, 0.5000], [0.0000, 0.0000, 0.5000], [0.5000, 0.0000, 0.0000], [0.0000, 0.0000, 0.0000], [0.0000, 0.5000, 0.0000]]}

=====

(5)
{"formula": "Fe2SiMoH", "functional": "PBE", "state": "optimized geometry", "total_energy_ev_per_atom": -7.38, "sg": "P4/mmm (123)", "magmom_total_mub_per_fu": 4.0, "cell": [[3.6425, 0.0000, 0.0000], [0.0000, 3.6425, 0.0000], [0.0000, 0.0000, 3.9886]], "species": ["H", "Fe", "Fe", "Mo", "Si"], "frac_coords": [[0.0000, 0.0000, 0.0000], [0.5000, 0.0000, 0.0000], [0.0000, 0.5000, 0.0000], [0.0000, 0.0000, 0.5000], [0.5000, 0.5000, 0.5000]]}

=====

(6)
{"formula": "SiNiAu2", "functional": "PBE", "state": "optimized geometry", "total_energy_ev_per_atom": -4.27, "e_form_raw_mev_per_atom": 174, "sg": "I-42d (122)", "magmom_total_mub_per_fu": 0.0, "cell": [[-4.1258, 2.6307, 5.1178], [0.4950, -6.1118, 3.5406], [0.3097, -0.8432, 5.5812]], "species": ["Au", "Au", "Au", "Au", "Si", "Si", "Ni", "Ni"], "frac_coords": [[0.1470, 0.6250, 0.2500], [0.6030, 0.1250, 0.2500], [0.8750, 0.8530, 0.7500], [0.3750, 0.3970, 0.7500], [0.2500, 0.7500, 0.5000], [0.5000, 0.5000, 0.0000], [0.0000, 0.0000, 0.0000], [0.7500, 0.2500, 0.5000]]}

=====

(7)
{"formula": "PPt2Cl", "functional": "PBE", "state": "optimized geometry", "total_energy_ev_per_atom": -4.17, "e_form_raw_mev_per_atom": 664, "sg": "F-43m (216)", "magmom_total_mub_per_fu": 0.0, "cell": [[-0.8432, 4.4395, 0.3623], [-0.7969, 2.4668, -3.7191], [-4.1664, 1.5899, -0.8158]], "species": ["Cl", "P", "Pt", "Pt"], "frac_coords": [[0.5000, 0.5000, 0.5000], [0.2500, 0.2500, 0.2500], [0.7500, 0.7500, 0.7500], [0.0000, 0.0000, 0.0000]]}

=====

(8)
{"formula": "Sm2GaCu", "functional": "PBE", "state": "optimized geometry", "total_energy_ev_per_atom": -4.10, "ef_ev_per_atom": 0.04, "sg": "C2/c (15)", "magmom_total_mub_per_fu": 0.0, "cell": [[-2.7549, 3.5566, 0.5972], [0.1514, -1.0875, 7.1754], [6.6458, 2.5220, -1.6052]], "species": ["Ga", "Ga", "Sm", "Sm", "Sm", "Sm", "Cu", "Cu"], "frac_coords": [[0.5038, 0.7500, 0.0000], [0.4962, 0.2500, 0.0000], [0.8395, 0.9194, 0.6781], [0.1605, 0.0806, 0.3219], [0.1614, 0.5806, 0.3219], [0.8386, 0.4194, 0.6781], [0.9959, 0.2500, 0.0000], [0.0041, 0.7500, 0.0000]]}

=====

(9)
{"formula": "ZrCuSnAs2", "functional": "PBE", "state": "optimized geometry", "total_energy_ev_per_atom": -4.62, "ef_ev_per_atom": 0.57, "sg": "P4/mmm (123)", "magmom_total_mub_per_fu": 0.0, "cell": [[5.1355, 0.0000, 0.0000], [0.0000, 5.6255, 0.0000], [0.0000, 0.0000, 5.1355]], "species": ["Zr", "Cu", "As", "As", "Sn"], "frac_coords": [[0.0000, 0.0000, 0.0000], [0.5000, 0.5000, 0.5000], [0.5000, 0.0000, 0.0000], [0.0000, 0.0000, 0.5000], [0.0000, 0.5000, 0.0000]]}

=====

(10)
{"formula": "TaHg2Pt", "functional": "PBE", "state": "optimized geometry", "total_energy_ev_per_atom": -4.32, "ef_ev_per_atom": 0.30, "sg": "P4/mmm (123)", "magmom_total_mub_per_fu": 0.0, "cell": [[-1.0910, -4.3918, -0.7920], [3.1523, -1.1956, 2.2873], [-2.3927, -0.0002, 3.2974]], "species": ["Hg", "Hg", "Ta", "Pt"], "frac_coords": [[0.0000, 0.0000, 0.0000], [0.0000, 0.5000, 0.5000], [0.5000, 0.0000, 0.5000], [0.5000, 0.5000, 0.0000]]}

=====

(11)
{"formula": "LaSm2Sn", "functional": "PBE", "state": "optimized geometry", "total_energy_ev_per_atom": -4.94, "ef_ev_per_atom": -0.34, "sg": "Cmcm (63)", "magmom_total_mub_per_fu": 0.0, "cell": [[5.6148, 0.0000, 0.0000], [-2.8074, 6.7037, 0.0000], [0.0000, 0.0000, 6.8561]], "species": ["La", "La", "Sn", "Sn", "Sm", "Sm", "Sm", "Sm"], "frac_coords": [[0.9333, 0.8667, 0.2500], [0.0667, 0.1333, 0.7500], [0.1737, 0.3475, 0.2500], [0.8263, 0.6525, 0.7500], [0.6335, 0.2669, 0.0180], [0.6335, 0.2669, 0.4820], [0.3665, 0.7331, 0.5180], [0.3665, 0.7331, 0.9820]]}

=====

(12)
{"formula": "SnAuF", "functional": "PBE", "state": "optimized geometry", "total_energy_ev_per_atom": -4.15, "e_form_raw_mev_per_atom": -1098, "sg": "P1 (1)", "magmom_total_mub_per_fu": 0.0, "cell": [[-3.7228, -2.9910, -0.7412], [0.9223, -4.5486, -1.8378], [0.9742, -2.5012, 5.0905]], "species": ["Sn", "Sn", "F", "F", "Au", "Au"], "frac_coords": [[0.1145, 0.3332, 0.3326], [0.7679, 0.9601, 0.8635], [0.8147, 0.8344, 0.2439], [0.4807, 0.4462, 0.3466], [0.1000, 0.2955, 0.8362], [0.4297, 0.6390, 0.8186]]}

=====

(13)
{"formula": "PaTlSe4", "functional": "PBE", "state": "optimized geometry", "total_energy_ev_per_atom": -5.08, "e_form_raw_mev_per_atom": -777, "sg": "C2/m (12)", "magmom_total_mub_per_fu": 0.0, "cell": [[4.7568, 0.2631, -0.0807], [1.4439, 4.5400, -0.0807], [0.8209, 0.6357, 8.5739]], "species": ["Se", "Se", "Se", "Se", "Pa", "Tl"], "frac_coords": [[0.3822, 0.3822, 0.9034], [0.1095, 0.1095, 0.6952], [0.6178, 0.6178, 0.0966], [0.8905, 0.8905, 0.3048], [0.0000, 0.0000, 0.0000], [0.5000, 0.5000, 0.5000]]}

=====

(14)
{"formula": "CeGe2P3", "functional": "PBE", "state": "optimized geometry", "total_energy_ev_per_atom": -5.65, "ef_ev_per_atom": -0.42, "sg": "Pmc2_1 (26)", "magmom_total_mub_per_fu": 0.0, "cell": [[-2.7794, -1.0122, -2.3619], [-0.4379, -5.7193, 2.9662], [-6.6645, 3.7452, 6.2375]], "species": ["P", "P", "P", "P", "P", "P", "Ge", "Ge", "Ge", "Ge", "Ce", "Ce"], "frac_coords": [[0.5000, 0.2226, 0.6912], [0.5000, 0.2000, 0.0574], [0.0000, 0.7225, 0.6353], [0.5000, 0.7000, 0.9426], [0.5000, 0.7226, 0.3088], [0.0000, 0.2225, 0.3647], [0.0000, 0.9843, 0.1835], [0.5000, 0.0483, 0.4663], [0.0000, 0.4843, 0.8165], [0.5000, 0.5483, 0.5337], [0.0000, 0.0235, 0.8703], [0.0000, 0.5235, 0.1297]]}

=====

(15)
{"formula": "Ho8Te3SeS3", "functional": "PBE", "state": "optimized geometry", "total_energy_ev_per_atom": -5.63, "e_form_raw_mev_per_atom": -1499, "sg": "R-3m (166)", "magmom_total_mub_per_fu": 0.0, "cell": [[-3.7851, -7.0498, 1.1172], [8.0516, 0.2065, -0.6338], [-3.5962, 3.0067, 6.7886]], "species": ["Ho", "Ho", "Ho", "Ho", "Ho", "Ho", "Ho", "Ho", "S", "S", "S", "Se", "Te", "Te", "Te"], "frac_coords": [[0.7525, 0.0297, 0.2822], [0.2475, 0.9703, 0.7178], [0.2475, 0.4950, 0.7178], [0.7525, 0.5050, 0.2822], [0.2771, 0.0297, 0.2822], [0.7334, 0.4668, 0.7001], [0.2666, 0.5332, 0.2999], [0.7229, 0.9703, 0.7178], [0.5000, 0.5000, 0.5000], [0.0000, 0.5000, 0.5000], [0.5000, 0.0000, 0.5000], [0.0000, 0.0000, 0.5000], [0.5000, 0.5000, 0.0000], [0.0000, 0.0000, 0.0000], [0.0000, 0.5000, 0.0000]]}

=====

(16)
{"formula": "Ta2TcOs", "functional": "PBE", "state": "optimized geometry", "total_energy_ev_per_atom": -11.17, "ef_ev_per_atom": 0.16, "sg": "R3m (160)", "magmom_total_mub_per_fu": 0.0, "cell": [[9.7327, 0.0160, 0.0094], [9.3205, 2.8023, 0.0094], [9.3205, 1.3787, 2.4397]], "species": ["Tc", "Ta", "Ta", "Os"], "frac_coords": [[0.4945, 0.4945, 0.4945], [0.2463, 0.2463, 0.2463], [0.0045, 0.0045, 0.0045], [0.7547, 0.7547, 0.7547]]}

=====

(17)
{"formula": "Pr2AgSn3Rh4", "functional": "PBE", "state": "optimized geometry", "total_energy_ev_per_atom": -5.98, "ef_ev_per_atom": -0.60, "sg": "P-4m2 (115)", "magmom_total_mub_per_fu": 0.0, "cell": [[-0.9414, -3.6206, 2.1891], [2.7802, 1.1611, 3.1160], [-8.4263, 5.4980, 5.4696]], "species": ["Ag", "Rh", "Rh", "Rh", "Rh", "Sn", "Sn", "Sn", "Pr", "Pr"], "frac_coords": [[0.5000, 0.5000, 0.5000], [0.0000, 0.5000, 0.3548], [0.5000, 0.0000, 0.6452], [0.5000, 0.5000, 0.0000], [0.0000, 0.0000, 0.0000], [0.0000, 0.5000, 0.1280], [0.0000, 0.0000, 0.5000], [0.5000, 0.0000, 0.8720], [0.5000, 0.0000, 0.2578], [0.0000, 0.5000, 0.7422]]}

=====

(18)
{"formula": "CaNpCu2Se4", "functional": "PBE", "state": "optimized geometry", "total_energy_ev_per_atom": -5.41, "e_form_raw_mev_per_atom": -775, "sg": "I222 (23)", "magmom_total_mub_per_fu": 3.5, "cell": [[6.9664, 0.0000, 0.0000], [3.4832, 5.1115, 0.0974], [3.4832, 0.5160, 5.0863]], "species": ["Cu", "Cu", "Ca", "Np", "Se", "Se", "Se", "Se"], "frac_coords": [[0.8262, 0.6738, 0.6738], [0.1738, 0.3262, 0.3262], [0.5000, 0.5000, 0.5000], [0.0000, 0.0000, 0.0000], [0.5475, 0.4650, 0.9599], [0.0277, 0.9599, 0.4650], [0.9723, 0.5350, 0.0401], [0.4525, 0.0401, 0.5350]]}

=====

(19)
{"formula": "SrSbPd4", "functional": "PBE", "state": "optimized geometry", "total_energy_ev_per_atom": -4.82, "e_form_raw_mev_per_atom": -391, "sg": "F-43m (216)", "magmom_total_mub_per_fu": 0.0, "cell": [[-2.4446, -4.9200, -0.0268], [2.7494, -4.4240, -1.7469], [1.5562, -3.8602, 3.5861]], "species": ["Pd", "Pd", "Pd", "Pd", "Sb", "Sr"], "frac_coords": [[0.6243, 0.6243, 0.1272], [0.1272, 0.6243, 0.6243], [0.6243, 0.1272, 0.6243], [0.6243, 0.6243, 0.6243], [0.2500, 0.2500, 0.2500], [0.0000, 0.0000, 0.0000]]}

=====

(20)
{"formula": "AcAg2Pd2", "functional": "PBE", "state": "optimized geometry", "total_energy_ev_per_atom": -4.41, "ef_ev_per_atom": -0.37, "sg": "P2_1/m (11)", "magmom_total_mub_per_fu": 0.0, "cell": [[4.2782, 0.0000, 0.0000], [0.0000, 4.2612, -0.2598], [0.0000, 0.7573, 12.1814]], "species": ["Pd", "Pd", "Pd", "Pd", "Ac", "Ac", "Ag", "Ag", "Ag", "Ag"], "frac_coords": [[0.7500, 0.2510, 0.3526], [0.2500, 0.7490, 0.6474], [0.2500, 0.2480, 0.0003], [0.7500, 0.7520, 0.9997], [0.2500, 0.7518, 0.2483], [0.7500, 0.2482, 0.7517], [0.2500, 0.2498, 0.4998], [0.2500, 0.7480, 0.8631], [0.7500, 0.2520, 0.1369], [0.7500, 0.7502, 0.5002]]}

=====

(21)
{"formula": "MnIrSN2", "functional": "PBE", "state": "optimized geometry", "total_energy_ev_per_atom": -7.04, "e_form_raw_mev_per_atom": 726, "sg": "P4/mmm (123)", "magmom_total_mub_per_fu": 4.9, "cell": [[-1.5387, 0.8466, 3.3116], [-3.3798, -0.9187, -1.3355], [0.7459, -5.1691, 1.6680]], "species": ["Ir", "Mn", "S", "N", "N"], "frac_coords": [[0.0000, 0.0000, 0.0000], [0.5000, 0.5000, 0.5000], [0.0000, 0.0000, 0.5000], [0.0000, 0.5000, 0.0000], [0.5000, 0.0000, 0.0000]]}

=====

(22)
{"formula": "NdTmAgRu", "functional": "PBE", "state": "optimized geometry", "total_energy_ev_per_atom": -5.69, "ef_ev_per_atom": -0.35, "sg": "P4mm (99)", "magmom_total_mub_per_fu": 0.0, "cell": [[3.4454, 0.0000, 0.0000], [0.0000, 3.4454, 0.0000], [0.0000, 0.0000, 7.6118]], "species": ["Nd", "Tm", "Ru", "Ag"], "frac_coords": [[0.5000, 0.5000, 0.7919], [0.5000, 0.5000, 0.3466], [0.0000, 0.0000, 0.5542], [0.0000, 0.0000, 0.0920]]}

=====

(23)
{"formula": "Pu2UTcN4", "functional": "PBE", "state": "optimized geometry", "total_energy_ev_per_atom": -11.37, "e_form_raw_mev_per_atom": -915, "sg": "Cmcm (63)", "magmom_total_mub_per_fu": 10.3, "cell": [[3.2754, 0.0000, 0.0000], [-1.6377, 5.8306, 0.0000], [0.0000, 0.0000, 11.6617]], "species": ["Tc", "Tc", "N", "N", "N", "N", "N", "N", "N", "N", "Pu", "Pu", "Pu", "Pu", "U", "U"], "frac_coords": [[0.8527, 0.7054, 0.7500], [0.1473, 0.2946, 0.2500], [0.0000, 0.0000, 0.5000], [0.2829, 0.5658, 0.1320], [0.7171, 0.4342, 0.6320], [0.7171, 0.4342, 0.8680], [0.0000, 0.0000, 0.0000], [0.2829, 0.5658, 0.3680], [0.4665, 0.9330, 0.7500], [0.5335, 0.0670, 0.2500], [0.3682, 0.7364, 0.9495], [0.3682, 0.7364, 0.5505], [0.6318, 0.2636, 0.0505], [0.6318, 0.2636, 0.4495], [0.8862, 0.7724, 0.2500], [0.1138, 0.2276, 0.7500]]}

=====

(24)
{"formula": "Ac2PmTmTe5", "functional": "PBE", "state": "optimized geometry", "total_energy_ev_per_atom": -4.72, "e_form_raw_mev_per_atom": -1038, "sg": "P4/mmm (123)", "magmom_total_mub_per_fu": 0.0, "cell": [[-5.2675, -1.2252, 0.7163], [0.0356, -2.8666, -4.6413], [3.0619, -9.6615, 5.9907]], "species": ["Te", "Te", "Te", "Te", "Te", "Tm", "Ac", "Ac", "Pm"], "frac_coords": [[0.0000, 0.0000, 0.2491], [0.0000, 0.0000, 0.7509], [0.0000, 0.5000, 0.5000], [0.5000, 0.0000, 0.5000], [0.5000, 0.5000, 0.0000], [0.0000, 0.0000, 0.5000], [0.5000, 0.5000, 0.2975], [0.5000, 0.5000, 0.7025], [0.0000, 0.0000, 0.0000]]}

=====

(25)
{"formula": "KNiCl", "functional": "PBE", "state": "optimized geometry", "total_energy_ev_per_atom": -3.44, "e_form_raw_mev_per_atom": -534, "sg": "Amm2 (38)", "magmom_total_mub_per_fu": 0.0, "cell": [[4.1972, 0.0000, 0.0000], [0.0000, 2.4516, -7.8171], [0.0000, 2.4516, 7.8171]], "species": ["Ni", "Ni", "Cl", "Cl", "K", "K"], "frac_coords": [[0.5000, 0.1037, 0.8963], [0.0000, 0.1904, 0.8096], [0.0000, 0.0557, 0.9443], [0.0000, 0.3285, 0.6715], [0.5000, 0.4815, 0.5185], [0.5000, 0.7490, 0.2510]]}